# Tl2Ag2SnCl6, optimized geometry, DFT PBE
data_Tl2Ag2SnCl6
_symmetry_space_group_name_H-M 'C 1 2/m 1'
_symmetry_Int_Tables_number 12
_cell_length_a 13.829
_cell_length_b 7.659
_cell_length_c 7.570
_cell_angle_alpha 90.00
_cell_angle_beta 120.20
_cell_angle_gamma 90.00
loop_
_symmetry_equiv_pos_as_xyz
'x,y,z'
'-x,-y,-z'
'-x,y,-z'
'x,-y,z'
'x+1/2,y+1/2,z'
'-x+1/2,-y+1/2,-z'
'-x+1/2,y+1/2,-z'
'x+1/2,-y+1/2,z'
loop_
_atom_site_label
_atom_site_fract_x
_atom_site_fract_y
_atom_site_fract_z
Tl1 0.240 0.000 0.183
Ag1 0.068 0.500 0.225
Sn1 0.000 0.000 0.500
Cl1 0.068 0.253 0.819
Cl2 0.226 0.000 0.595
# - uncorrected formation energy (eV per formula unit) = -8.625
# - electronic total energy (eV/atom) = -3.10